(1)
! Ce2DyIr | Alexandria | PBE | relaxed; values from VASP
! SG: Cmcm (63)
! M_tot: 0.95 μB per formula unit
! ρ: 10.10 Mg/m³
! Total energy: -54.1 eV/cell
! Energy above the most stable polymorph in this dataset: 0.000 eV/atom
! ΔE_f: -0.436 eV per atom
&SYSTEM
  ibrav = 0, nat = 8, ntyp = 3
/
ATOMIC_SPECIES
Ce 140.12 Ce.upf
Ir 192.22 Ir.upf
Dy 162.50 Dy.upf
CELL_PARAMETERS angstrom
3.766 -0.154 0.000
-1.649 5.695 0.000
0.000 0.000 9.855
ATOMIC_POSITIONS crystal
Ce 0.138 0.276 0.057
Ce 0.862 0.724 0.557
Ce 0.138 0.276 0.443
Ir 0.293 0.585 0.750
Ce 0.862 0.724 0.943
Ir 0.707 0.415 0.250
Dy 0.581 0.162 0.750
Dy 0.419 0.838 0.250

---

(2)
! Ta2CoAs | Alexandria | PBE | relaxed; values from VASP
! SG: P4mm (99)
! M_tot: 0.00 μB per formula unit
! ρ: 13.03 Mg/m³
! Total energy: -36.1 eV/cell
! ΔE_f: -0.159 eV per atom
&SYSTEM
  ibrav = 0, nat = 4, ntyp = 3
/
ATOMIC_SPECIES
Co 58.93 Co.upf
As 74.92 As.upf
Ta 180.95 Ta.upf
CELL_PARAMETERS angstrom
3.296 0.000 0.000
0.000 3.296 0.000
0.000 0.000 5.816
ATOMIC_POSITIONS crystal
Co 0.500 0.500 0.766
As 0.000 0.000 0.498
Ta 0.000 0.000 0.961
Ta 0.500 0.500 0.275

---

Copy entry 1 word for word.
! Ce2DyIr | Alexandria | PBE | relaxed; values from VASP
! SG: Cmcm (63)
! M_tot: 0.95 μB per formula unit
! ρ: 10.10 Mg/m³
! Total energy: -54.1 eV/cell
! Energy above the most stable polymorph in this dataset: 0.000 eV/atom
! ΔE_f: -0.436 eV per atom
&SYSTEM
  ibrav = 0, nat = 8, ntyp = 3
/
ATOMIC_SPECIES
Ce 140.12 Ce.upf
Ir 192.22 Ir.upf
Dy 162.50 Dy.upf
CELL_PARAMETERS angstrom
3.766 -0.154 0.000
-1.649 5.695 0.000
0.000 0.000 9.855
ATOMIC_POSITIONS crystal
Ce 0.138 0.276 0.057
Ce 0.862 0.724 0.557
Ce 0.138 0.276 0.443
Ir 0.293 0.585 0.750
Ce 0.862 0.724 0.943
Ir 0.707 0.415 0.250
Dy 0.581 0.162 0.750
Dy 0.419 0.838 0.250

---

> Which of these has the highest M_tot?

Ce2DyIr

---

> What is the ρ in the first record?

10.10 Mg/m³